A geometry-optimized SnW2F structure. Source: Alexandria via LeMat-Bulk, functional PBE+U.

a = 10.8856 Å, b = 10.8856 Å, c = 10.8856 Å
α = 159.76°, β = 159.76°, γ = 28.78°
Element x y z (fractional)
1 Sn 0.0000 0.0000 0.0000
2 Sn 0.7500 0.2500 0.5000
3 W 0.1214 0.6250 0.9964
4 W 0.3750 0.3714 0.4964
5 W 0.6286 0.1250 0.0036
6 W 0.8750 0.8786 0.5036
7 F 0.2500 0.7500 0.5000
8 F 0.5000 0.5000 0.0000

Properties
Distance to the lowest polymorph of the same formula (meV per atom): 0.0
Final energy (eV for the cell shown): -34.27
Calculated volume (A^3/atom): 19.3